Version A
Compound: TaBr2N
Source: the Alexandria database
Functional: GGA-PBE
Structure: optimized geometry

```
TaBr2N
1.0
6.3579 0.0000 0.0000
0.0000 6.3579 0.0000
0.0000 0.0000 6.3579
Ta Br N
4 8 4
Direct
0.0000 0.0000 0.0000 Ta
0.0000 0.5000 0.5000 Ta
0.5000 0.0000 0.5000 Ta
0.5000 0.5000 0.0000 Ta
0.2500 0.2500 0.2500 Br
0.2500 0.2500 0.7500 Br
0.2500 0.7500 0.2500 Br
0.2500 0.7500 0.7500 Br
0.7500 0.2500 0.2500 Br
0.7500 0.2500 0.7500 Br
0.7500 0.7500 0.2500 Br
0.7500 0.7500 0.7500 Br
0.0000 0.0000 0.5000 N
0.0000 0.5000 0.0000 N
0.5000 0.0000 0.0000 N
0.5000 0.5000 0.5000 N
```

* size of the total moment: 0.0000 μB per atom
* crystal system: cubic

***

Version B
Compound: TaBr2N
Source: the Alexandria database
Functional: GGA-PBE
Structure: optimized geometry

```
TaBr2N
1.0
9.9475 0.0000 0.0000
0.0000 9.9475 0.0000
0.0000 0.0000 3.9104
Ta Br N
4 8 4
Direct
0.0000 0.0000 0.0000 Ta
0.0000 0.5000 0.2500 Ta
0.5000 0.0000 0.7500 Ta
0.5000 0.5000 0.5000 Ta
0.0906 0.2500 0.1250 Br
0.2500 0.5906 0.3750 Br
0.2500 0.9094 0.8750 Br
0.4094 0.2500 0.6250 Br
0.5906 0.7500 0.6250 Br
0.7500 0.0906 0.8750 Br
0.7500 0.4094 0.3750 Br
0.9094 0.7500 0.1250 Br
0.0000 0.0000 0.5000 N
0.0000 0.5000 0.7500 N
0.5000 0.0000 0.2500 N
0.5000 0.5000 0.0000 N
```

* size of the total moment: 0.0000 μB per atom
* crystal system: tetragonal

***

Version C
Compound: TaBr2N
Source: the Alexandria database
Functional: GGA-PBE
Structure: optimized geometry

```
TaBr2N
1.0
3.4620 0.0000 0.0000
-1.7310 2.9982 0.0000
0.0000 0.0000 32.4928
Ta Br N
3 6 3
Direct
0.0000 0.0000 0.0000 Ta
0.3333 0.6667 0.6667 Ta
0.6667 0.3333 0.3333 Ta
0.0000 0.0000 0.0741 Br
0.0000 0.0000 0.9259 Br
0.3333 0.6667 0.5926 Br
0.3333 0.6667 0.7408 Br
0.6667 0.3333 0.2592 Br
0.6667 0.3333 0.4074 Br
0.0000 0.0000 0.5000 N
0.3333 0.6667 0.1667 N
0.6667 0.3333 0.8333 N
```

* size of the total moment: 0.7143 μB per atom
* crystal system: trigonal

***

In meV/atom, relative to the most stable structure: version A 1534; version B 0; version C 1612.

***

Version A
Compound: TaBr3N
Source: the Alexandria database
Functional: GGA-PBE
Structure: optimized geometry

```
TaBr3N
1.0
5.1591 0.0000 0.0000
0.0000 5.1591 0.0000
0.0000 0.0000 5.1591
Ta Br N
1 3 1
Direct
0.0000 0.0000 0.0000 Ta
0.0000 0.0000 0.5000 Br
0.0000 0.5000 0.0000 Br
0.5000 0.0000 0.0000 Br
0.5000 0.5000 0.5000 N
```

* size of the total moment: 0.5528 μB per atom
* crystal system: cubic

***

Version B
Compound: TaBr3N
Source: the Alexandria database
Functional: GGA-PBE
Structure: optimized geometry

```
TaBr3N
1.0
4.6479 0.0000 0.0000
0.0000 4.6479 0.0000
0.0000 0.0000 4.6479
Ta Br N
1 3 1
Direct
0.0000 0.0000 0.0000 Ta
0.0000 0.5000 0.5000 Br
0.5000 0.0000 0.5000 Br
0.5000 0.5000 0.0000 Br
0.5000 0.5000 0.5000 N
```

* size of the total moment: 0.5975 μB per atom
* crystal system: cubic

***

In meV/atom, relative to the most stable structure: version A 0; version B 816.